# 1
5
Lattice="4.384 0.000 0.000 0.000 4.384 0.000 0.000 0.000 4.384" Properties=species:S:1:pos:R:3 comment="SrMnCo3 | the Alexandria database | PBE | relaxed" de_polymorph_ev_per_atom=0.000 formation_enthalpy_0k_ev_per_fu=3.7 dft_energy_ev_per_atom=-5.687 pbc="T T T"
Sr 0.000 0.000 0.000
Mn 2.192 2.192 2.192
Co 0.000 2.192 2.192
Co 2.192 0.000 2.192
Co 2.192 2.192 0.000

# 2
12
Lattice="5.546 0.000 0.000 0.010 7.821 0.000 2.755 3.905 8.327" Properties=species:S:1:pos:R:3 comment="LaNd5Tl6 | the Alexandria database | PBE | relaxed" formation_enthalpy_0k_ev_per_fu=-4.7 dft_energy_ev_per_atom=-3.974 pbc="T T T"
La 0.000 0.000 0.000
Nd 0.005 3.910 0.000
Nd 2.770 3.909 2.801
Nd 2.775 7.818 2.726
Nd 5.535 3.908 5.601
Nd 5.540 7.817 5.526
Tl 2.768 9.744 5.521
Tl 2.767 5.891 5.522
Tl 5.527 5.921 8.327
Tl 2.784 5.805 0.000
Tl 5.544 5.835 2.805
Tl 5.543 1.982 2.806

# 3
20
Lattice="3.565 -6.975 0.000 3.565 6.975 0.000 0.000 0.000 7.203" Properties=species:S:1:pos:R:3 comment="K3RuF6 | the Alexandria database | PBE | relaxed" formation_energy_uncorrected_ev_per_atom=-2.225 dft_energy_ev_per_atom=-4.604 pbc="T T T"
K 3.565 6.212 3.601
K 1.973 2.441 3.044
K 1.973 -2.441 6.645
K 5.157 2.441 3.044
K 5.157 -2.441 6.645
K 3.565 -6.212 0.000
Ru 3.565 1.490 6.261
Ru 3.565 -1.490 2.660
F 2.157 2.159 0.376
F 1.801 1.032 5.194
F 3.565 3.371 5.402
F 1.801 -1.032 1.592
F 2.157 -2.159 3.977
F 3.565 0.416 3.131
F 3.565 -0.416 6.732
F 4.974 2.159 0.376
F 5.329 1.032 5.194
F 3.565 -3.371 1.801
F 5.329 -1.032 1.592
F 4.974 -2.159 3.977

# 4
6
Lattice="4.197 0.000 0.000 0.000 2.401 5.210 0.000 -2.401 5.210" Properties=species:S:1:pos:R:3 comment="CaHRu | the Alexandria database | PBE | relaxed" de_polymorph_ev_per_atom=0.033 dft_energy_ev_per_atom=-4.969 pbc="T T T"
Ca 0.000 0.000 0.000
Ca 2.098 0.000 2.987
H 0.000 -1.178 3.203
H 0.000 1.178 3.203
Ru 0.000 0.000 7.247
Ru 2.098 0.000 6.199

# 5
4
Lattice="1.800 1.039 11.717 -1.800 1.039 11.717 0.000 -2.079 11.717" Properties=species:S:1:pos:R:3 comment="Ca2PmGa | the Alexandria database | PBE | relaxed" de_polymorph_ev_per_atom=0.236 formation_enthalpy_0k_ev_per_fu=0.1 dft_energy_ev_per_atom=-2.922 pbc="T T T"
Ca 0.000 0.000 3.560
Ca 0.000 0.000 31.591
Pm 0.000 0.000 0.000
Ga 0.000 0.000 17.576

# 6
5
Lattice="5.403 0.000 0.000 0.000 5.403 0.000 0.000 0.000 4.410" Properties=species:S:1:pos:R:3 comment="Mg2NbVSe | the Alexandria database | PBE | relaxed" formation_energy_uncorrected_ev_per_atom=1.089 dft_energy_ev_per_atom=-4.083 pbc="T T T"
Mg 0.000 2.701 0.000
Mg 2.701 0.000 0.000
Nb 0.000 0.000 0.000
V 0.000 0.000 2.205
Se 2.701 2.701 2.205

| no. | density (g/cm3) |
| --- | --- |
| 1 | 6.29 |
| 2 | 9.59 |
| 3 | 3.08 |
| 4 | 4.50 |
| 5 | 3.72 |
| 6 | 3.50 |